Entry from the Alexandria database: a relaxed CaInAg3 crystal (GGA-PBE).

Computed properties:
The energy relative to the elements is -15 kJ per mole of atoms. The crystal system is triclinic. The energy above the most stable polymorph in this dataset is 9 meV per atom. As for the size of the total moment: 0.00 μB/atom. The volume comes out at 23.21 A^3/atom.

a b c (Å): 4.1713 4.1941 7.2559
angles (deg): 106.70 106.59 90.01
Sites, in units of the cell vectors:
Ca 0.0000 0.0000 0.0000
In 0.3722 0.3722 0.7447
Ag 0.2257 0.7266 0.4521
Ag 0.5801 0.5800 0.1604
Ag 0.7254 0.2245 0.4497



Entry from the Alexandria database: a relaxed Na2TaP2 crystal (GGA-PBE).

Computed properties:
The energy relative to the elements is -10 kJ per mole of atoms. The crystal system is tetragonal. As for the size of the total moment: 0.18 μB/atom. The volume comes out at 19.77 A^3/atom.

a b c (Å): 6.4888 6.4888 4.6944
angles (deg): 90.00 90.00 90.00
Sites, in units of the cell vectors:
Na 0.1715 0.3285 0.0000
Na 0.3285 0.8285 0.0000
Na 0.6715 0.1715 0.0000
Na 0.8285 0.6715 0.0000
Ta 0.0000 0.0000 0.5000
Ta 0.5000 0.5000 0.5000
P 0.1356 0.6356 0.5000
P 0.3644 0.1356 0.5000
P 0.6356 0.8644 0.5000
P 0.8644 0.3644 0.5000



Entry from the Alexandria database: a relaxed CeHfHg crystal (GGA-PBE).

Computed properties:
The energy relative to the elements is -4 kJ per mole of atoms. The crystal system is monoclinic. The energy above the most stable polymorph in this dataset is 27 meV per atom. As for the size of the total moment: 0.13 μB/atom. The volume comes out at 24.83 A^3/atom.

a b c (Å): 3.2380 3.2381 14.2106
angles (deg): 90.00 90.10 90.00
Sites, in units of the cell vectors:
Ce 0.2478 0.2500 0.2504
Ce 0.7522 0.7500 0.7496
Hf 0.2507 0.2500 0.5734
Hf 0.7493 0.7500 0.4266
Hg 0.2532 0.2500 0.9202
Hg 0.7468 0.7500 0.0798



E_tot in eV per atom, matching the order above: -2.818, -5.162, -5.439
Fermi-level density of states in states/eV/cell, matching the order above: 2.3, 6.5, 11.4